Record 1
Here is a relaxed structure of Pr12Dy3Zn from the Alexandria database. Energies are from PBE-GGA.

a b c (Å): 5.1136 5.1136 20.6495
angles (deg): 90.00 90.00 90.00
Sites, in units of the cell vectors:
Pr: 0.5000 0.5000 0.0000
Pr: 0.5000 0.5000 0.2439
Pr: 0.5000 0.5000 0.5000
Pr: 0.5000 0.5000 0.7561
Pr: 0.5000 0.0000 0.1183
Pr: 0.5000 0.0000 0.3725
Pr: 0.5000 0.0000 0.6275
Pr: 0.5000 0.0000 0.8817
Pr: 0.0000 0.5000 0.1183
Pr: 0.0000 0.5000 0.3725
Pr: 0.0000 0.5000 0.6275
Pr: 0.0000 0.5000 0.8817
Dy: 0.0000 0.0000 0.2456
Dy: 0.0000 0.0000 0.5000
Dy: 0.0000 0.0000 0.7544
Zn: 0.0000 0.0000 0.0000

Calculated values
theoretical density	6.90	g/cm3
ΔE_f	0.0104	eV/atom
crystal system	tetragonal

Record 2
Here is a relaxed structure of ScTlMo2Ir from the Alexandria database. Energies are from PBE-GGA.

a b c (Å): 4.8250 5.0790 4.8250
angles (deg): 90.00 90.00 90.00
Sites, in units of the cell vectors:
Sc: 0.5000 0.5000 0.5000
Tl: 0.0000 0.5000 0.0000
Ir: 0.0000 0.0000 0.0000
Mo: 0.0000 0.0000 0.5000
Mo: 0.5000 0.0000 0.0000

Calculated values
theoretical density	8.90	g/cm3
ΔE_f	1.1524	eV/atom
crystal system	tetragonal

Record 3
Here is a relaxed structure of ReWAu2 from the Alexandria database. Energies are from PBE-GGA.

a b c (Å): 2.7484 2.7484 8.7031
angles (deg): 90.00 90.00 90.01
Sites, in units of the cell vectors:
Au: 0.0000 0.0000 0.0008
Au: 0.0000 0.0000 0.4992
Re: 0.5000 0.5000 0.2500
W: 0.5000 0.5000 0.7500

Calculated values
E above lowest polymorph	250.7	meV per atom
theoretical density	19.30	g/cm3
ΔE_f	0.5491	eV/atom
crystal system	tetragonal

Record 4
Here is a relaxed structure of NbBr2Cl from the Alexandria database. Energies are from PBE-GGA.

a b c (Å): 3.4931 4.8993 8.1106
angles (deg): 89.07 77.64 90.00
Sites, in units of the cell vectors:
Nb: 0.0000 0.0000 0.0000
Br: 0.3751 0.9933 0.2513
Br: 0.6248 0.0067 0.7487
Cl: 0.0001 0.5000 0.0000

Calculated values
E above lowest polymorph	0.0	meV per atom
theoretical density	3.53	g/cm3
raw formation energy	-83	kJ per mole of atoms
crystal system	triclinic

Record 5
Here is a relaxed structure of PaPdSe5 from the Alexandria database. Energies are from PBE-GGA.

a b c (Å): 6.7998 6.7998 9.3694
angles (deg): 74.12 74.12 75.33
Sites, in units of the cell vectors:
Pa: 0.5421 0.4579 0.2500
Pa: 0.4579 0.5421 0.7500
Pd: 0.0000 0.0000 0.0000
Pd: 0.0000 0.0000 0.5000
Se: 0.8015 0.7199 0.1314
Se: 0.2656 0.6544 0.4884
Se: 0.7199 0.8015 0.6314
Se: 0.8826 0.1174 0.2500
Se: 0.3456 0.7344 0.0116
Se: 0.6544 0.2656 0.9884
Se: 0.1174 0.8826 0.7500
Se: 0.2801 0.1985 0.3686
Se: 0.7344 0.3456 0.5116
Se: 0.1985 0.2801 0.8686

Calculated values
theoretical density	6.18	g/cm3
raw formation energy	-45	kJ per mole of atoms
crystal system	monoclinic

Record 6
Here is a relaxed structure of TbIn2Hg from the Alexandria database. Energies are from PBE-GGA.

a b c (Å): 3.8126 3.8126 7.1130
angles (deg): 90.00 90.00 90.00
Sites, in units of the cell vectors:
Tb: 0.5000 0.5000 0.5000
Hg: 0.5000 0.5000 0.0000
In: 0.0000 0.0000 0.7714
In: 0.0000 0.0000 0.2286

Calculated values
theoretical density	9.46	g/cm3
ΔE_f	-0.2018	eV/atom
crystal system	tetragonal

Record 7
Here is a relaxed structure of KBeGa3 from the Alexandria database. Energies are from PBE-GGA.

a b c (Å): 4.7852 4.7852 4.7852
angles (deg): 90.00 90.00 90.00
Sites, in units of the cell vectors:
Be: 0.0000 0.0000 0.0000
K: 0.5000 0.5000 0.5000
Ga: 0.0000 0.5000 0.0000
Ga: 0.0000 0.0000 0.5000
Ga: 0.5000 0.0000 0.0000

Calculated values
E above lowest polymorph	0.0	meV per atom
theoretical density	3.90	g/cm3
ΔE_f	0.2116	eV/atom
crystal system	cubic

Record 8
Here is a relaxed structure of Sr2CoBr from the Alexandria database. Energies are from PBE-GGA.

a b c (Å): 7.3981 7.3981 7.3981
angles (deg): 145.38 145.38 49.76
Sites, in units of the cell vectors:
Br: 0.5000 0.5000 0.0000
Co: 0.7500 0.2500 0.5000
Sr: 0.0000 0.0000 0.0000
Sr: 0.2500 0.7500 0.5000

Calculated values
E above lowest polymorph	319.0	meV per atom
theoretical density	4.01	g/cm3
raw formation energy	-11	kJ per mole of atoms
crystal system	tetragonal

Record 9
Here is a relaxed structure of AlCd2GeTe from the Alexandria database. Energies are from PBE-GGA.

a b c (Å): 5.5726 5.6680 5.5726
angles (deg): 90.00 90.00 90.00
Sites, in units of the cell vectors:
Ge: 0.0000 0.5000 0.0000
Te: 0.0000 0.0000 0.0000
Al: 0.5000 0.5000 0.5000
Cd: 0.0000 0.0000 0.5000
Cd: 0.5000 0.0000 0.0000

Calculated values
theoretical density	4.26	g/cm3
raw formation energy	78	kJ per mole of atoms
crystal system	tetragonal

Record 10
Here is a relaxed structure of IrBr from the Alexandria database. Energies are from PBE-GGA.

a b c (Å): 3.7187 5.5091 8.9527
angles (deg): 87.85 84.75 89.99
Sites, in units of the cell vectors:
Ir: 0.9465 0.1274 0.3905
Ir: 0.4656 0.3852 0.2529
Ir: 0.4657 0.8866 0.2528
Ir: 0.9096 0.6267 0.4039
Br: 0.8455 0.1111 0.6623
Br: 0.2627 0.1499 0.0246
Br: 0.7649 0.6490 0.0348
Br: 0.3740 0.6149 0.5965

Calculated values
E above lowest polymorph	56.9	meV per atom
theoretical density	9.90	g/cm3
raw formation energy	31	kJ per mole of atoms
crystal system	triclinic

Record 11
Here is a relaxed structure of V2Sn2Ru from the Alexandria database. Energies are from PBE-GGA.

a b c (Å): 6.4074 6.4074 4.3179
angles (deg): 90.00 90.00 90.00
Sites, in units of the cell vectors:
Ru: 0.0000 0.0000 0.0000
Ru: 0.5000 0.5000 0.0000
Sn: 0.1758 0.6758 0.5000
Sn: 0.6758 0.8242 0.5000
Sn: 0.8242 0.3242 0.5000
Sn: 0.3242 0.1758 0.5000
V: 0.3664 0.8664 0.0000
V: 0.8664 0.6336 0.0000
V: 0.6336 0.1336 0.0000
V: 0.1336 0.3664 0.0000

Calculated values
E above lowest polymorph	0.0	meV per atom
theoretical density	8.25	g/cm3
ΔE_f	0.2513	eV/atom
crystal system	tetragonal

Record 12
Here is a relaxed structure of GeINO2 from the Alexandria database. Energies are from PBE-GGA.

a b c (Å): 3.5134 3.5134 7.1409
angles (deg): 90.00 90.00 90.00
Sites, in units of the cell vectors:
I: 0.0000 0.0000 0.5000
Ge: 0.0000 0.0000 0.0000
O: 0.0000 0.5000 0.0000
O: 0.5000 0.0000 0.0000
N: 0.5000 0.5000 0.5000

Calculated values
theoretical density	4.63	g/cm3
raw formation energy	32	kJ per mole of atoms
crystal system	tetragonal

Record 13
Here is a relaxed structure of TbMn2 from the Alexandria database. Energies are from PBE-GGA.

a b c (Å): 5.1421 5.1421 5.1421
angles (deg): 60.00 60.00 60.00
Sites, in units of the cell vectors:
Tb: 0.5000 0.5000 0.5000
Tb: 0.7500 0.7500 0.7500
Mn: 0.1250 0.6250 0.1250
Mn: 0.6250 0.1250 0.1250
Mn: 0.1250 0.1250 0.6250
Mn: 0.1250 0.1250 0.1250

Calculated values
theoretical density	9.29	g/cm3
ΔE_f	0.1701	eV/atom
crystal system	cubic

Record 14
Here is a relaxed structure of Y3ErPu2Te6 from the Alexandria database. Energies are from PBE-GGA.

a b c (Å): 4.3610 8.7910 9.8024
angles (deg): 103.30 102.85 90.00
Sites, in units of the cell vectors:
Y: 0.5000 0.5000 0.0000
Y: 0.8312 0.1657 0.6623
Y: 0.1688 0.8343 0.3377
Er: 0.5000 0.0000 0.0000
Pu: 0.8340 0.6670 0.6681
Pu: 0.1660 0.3330 0.3319
Te: 0.3354 0.9207 0.6707
Te: 0.6659 0.5855 0.3318
Te: 0.6646 0.0793 0.3293
Te: 0.9977 0.2462 0.9953
Te: 0.0023 0.7538 0.0047
Te: 0.3341 0.4145 0.6682

Calculated values
theoretical density	7.87	g/cm3
raw formation energy	-120	kJ per mole of atoms
crystal system	monoclinic

Record 15
Here is a relaxed structure of Li2MnGaN from the Alexandria database. Energies are from PBE-GGA.

a b c (Å): 4.0549 4.0549 3.6356
angles (deg): 90.00 90.00 90.00
Sites, in units of the cell vectors:
Mn: 0.0000 0.0000 0.5000
Li: 0.0000 0.5000 0.0000
Li: 0.5000 0.0000 0.0000
Ga: 0.5000 0.5000 0.5000
N: 0.0000 0.0000 0.0000

Calculated values
theoretical density	4.24	g/cm3
raw formation energy	-29	kJ per mole of atoms
crystal system	tetragonal

Record 16
Here is a relaxed structure of Sr3GaOs from the Alexandria database. Energies are from PBE-GGA.

a b c (Å): 5.7796 5.7796 5.7796
angles (deg): 90.00 90.00 90.00
Sites, in units of the cell vectors:
Sr: 0.0000 0.5000 0.0000
Sr: 0.0000 0.0000 0.5000
Sr: 0.5000 0.0000 0.0000
Os: 0.0000 0.0000 0.0000
Ga: 0.5000 0.5000 0.5000

Calculated values
E above lowest polymorph	0.0	meV per atom
theoretical density	4.50	g/cm3
ΔE_f	0.4613	eV/atom
crystal system	cubic

Record 17
Here is a relaxed structure of K2CuBiO4 from the Alexandria database. Energies are from PBE-GGA.

a b c (Å): 5.6912 5.6912 5.6912
angles (deg): 101.06 113.84 113.84
Sites, in units of the cell vectors:
K: 0.5000 0.7500 0.2500
K: 0.0000 0.0000 0.0000
Cu: 0.0000 0.5000 0.5000
Bi: 0.5000 0.2500 0.7500
O: 0.5923 0.3220 0.4280
O: 0.1060 0.2704 0.6780
O: 0.8940 0.5720 0.1644
O: 0.4077 0.8356 0.7296

Calculated values
theoretical density	4.93	g/cm3
raw formation energy	-104	kJ per mole of atoms
crystal system	tetragonal

Record 18
Here is a relaxed structure of PdWS2 from the Alexandria database. Energies are from PBE-GGA.

a b c (Å): 5.5767 5.5767 6.4386
angles (deg): 64.34 64.34 90.00
Sites, in units of the cell vectors:
S: 0.6428 0.1250 0.2500
S: 0.1072 0.6250 0.2500
S: 0.3750 0.3572 0.7500
S: 0.8750 0.8928 0.7500
Pd: 0.5000 0.5000 0.0000
Pd: 0.2500 0.7500 0.5000
W: 0.0000 0.0000 0.0000
W: 0.7500 0.2500 0.5000

Calculated values
E above lowest polymorph	310.8	meV per atom
theoretical density	7.44	g/cm3
raw formation energy	-7	kJ per mole of atoms
crystal system	tetragonal

Record 19
Here is a relaxed structure of Ta2TlSb from the Alexandria database. Energies are from PBE-GGA.

a b c (Å): 9.8095 9.8095 9.8095
angles (deg): 18.41 18.41 18.41
Sites, in units of the cell vectors:
Sb: 0.2500 0.2500 0.2500
Ta: 0.9977 0.9977 0.9977
Ta: 0.5023 0.5023 0.5023
Tl: 0.7500 0.7500 0.7500

Calculated values
E above lowest polymorph	238.8	meV per atom
theoretical density	13.90	g/cm3
raw formation energy	45	kJ per mole of atoms
crystal system	trigonal

Record 20
Here is a relaxed structure of Tb3Pm2Te6 from the Alexandria database. Energies are from PBE-GGA.

a b c (Å): 7.6187 7.5880 7.6023
angles (deg): 80.32 70.43 59.87
Sites, in units of the cell vectors:
Tb: 0.0000 0.0000 0.0000
Tb: 0.3297 0.3406 0.0000
Tb: 0.6703 0.6594 0.0000
Pm: 0.1640 0.6719 0.5000
Pm: 0.8359 0.3281 0.5000
Te: 0.4180 0.6782 0.7488
Te: 0.7374 0.0000 0.7517
Te: 0.0962 0.3218 0.7488
Te: 0.2626 0.0000 0.2483
Te: 0.5820 0.3218 0.2512
Te: 0.9038 0.6782 0.2512

Calculated values
E above lowest polymorph	0.0	meV per atom
theoretical density	7.10	g/cm3
raw formation energy	-139	kJ per mole of atoms
crystal system	monoclinic